Density functional theory data (PBE-GGA) for a relaxed structure of TiCoSb.

Properties
As for the space group: No. 129. The calculation puts the uncorrected formation energy at -31 kJ/mol of atoms.

Lattice parameters (Å, degrees): 4.0160 4.0160 6.3119 90.00 90.00 90.00
With the nearest neighbours (Å) after each atom.
Fractional coordinates of all 6 atoms:
Ti 0.2500 0.7500 0.0000  4 Co 2.51
Ti 0.7500 0.2500 0.0000  4 Co 2.51
Co 0.2500 0.2500 0.2374  4 Ti 2.51, 1 Sb 2.67
Co 0.7500 0.7500 0.7626  4 Ti 2.51, 1 Sb 2.67
Sb 0.2500 0.2500 0.6596  5 Co 2.67-2.91, 4 Ti 2.94
Sb 0.7500 0.7500 0.3404  5 Co 2.67-2.91, 4 Ti 2.94